Record 1
Here is CrMoP2Cl after structural relaxation from Alexandria. Energies are from GGA-PBE.

## Properties
Crystal system   tetragonal
SG   P4/mmm, No. 123
Offset from the most stable computed form   0.0 meV per atom

Geometry as CIF:
```
data_CrMoP2Cl
_chemical_formula_sum 'Cr1 Mo1 P2 Cl1'
_space_group_name_H-M_alt 'P 1'
_space_group_IT_number 1
_cell_length_a 4.661
_cell_length_b 4.661
_cell_length_c 4.997
_cell_angle_alpha 90.00
_cell_angle_beta 90.00
_cell_angle_gamma 90.00
loop_
_space_group_symop_operation_xyz
'x,y,z'
loop_
_atom_site_label
_atom_site_fract_x
_atom_site_fract_y
_atom_site_fract_z
Cr1 0.000 0.000 0.000
Mo1 0.500 0.500 0.500
P1 0.000 0.500 0.500
P2 0.500 0.000 0.500
Cl1 0.500 0.500 0.000
```

***

Record 2
Here is CrMoP2Cl after structural relaxation from Alexandria. Energies are from GGA-PBE.

## Properties
Crystal system   tetragonal
SG   P4/mmm, No. 123
Offset from the most stable computed form   218.9 meV per atom

Geometry as CIF:
```
data_CrMoP2Cl
_chemical_formula_sum 'Cr1 Mo1 P2 Cl1'
_space_group_name_H-M_alt 'P 1'
_space_group_IT_number 1
_cell_length_a 4.506
_cell_length_b 4.506
_cell_length_c 4.687
_cell_angle_alpha 90.00
_cell_angle_beta 90.00
_cell_angle_gamma 90.00
loop_
_space_group_symop_operation_xyz
'x,y,z'
loop_
_atom_site_label
_atom_site_fract_x
_atom_site_fract_y
_atom_site_fract_z
Cr1 0.000 0.000 0.000
Mo1 0.500 0.500 0.500
P1 0.000 0.500 0.000
P2 0.500 0.000 0.000
Cl1 0.000 0.000 0.500
```

***

Record 3
Here is Cr2MoPCl after structural relaxation from Alexandria. Energies are from GGA-PBE.

## Properties
Crystal system   tetragonal
SG   P4/mmm, No. 123

Geometry as CIF:
```
data_Cr2MoPCl
_chemical_formula_sum 'Cr2 Mo1 P1 Cl1'
_space_group_name_H-M_alt 'P 1'
_space_group_IT_number 1
_cell_length_a 4.945
_cell_length_b 4.945
_cell_length_c 4.546
_cell_angle_alpha 90.00
_cell_angle_beta 90.00
_cell_angle_gamma 90.00
loop_
_space_group_symop_operation_xyz
'x,y,z'
loop_
_atom_site_label
_atom_site_fract_x
_atom_site_fract_y
_atom_site_fract_z
Cr1 0.000 0.500 0.000
Cr2 0.500 0.000 0.000
Mo1 0.000 0.000 0.000
P1 0.000 0.000 0.500
Cl1 0.500 0.500 0.500
```

***

Computed raw formation energy (eV per atom) in order:
0.52; 0.73; 0.92